An optimized crystal structure of Zr2ZnAg, computed with PBE-GGA.

Summary:
The spin magnetization is 0.001 μB per atom. As for the volume: 78.7 Å³/f.u. The formation energy comes out at -0.1368 eV/atom.

Cell lengths 3.1258, 3.1258, 8.0562 Å; angles 90.00, 90.00, 90.00 degrees
Last column: nearest neighbours and their distance in Å.
Atoms (fractional coordinates):
Zr 0.5000 0.5000 0.8654  4 Ag 3.10, 8 Zr 3.13-3.15
Ag 0.0000 0.0000 0.5955  4 Zn 2.74
Zn 0.5000 0.5000 0.3942  4 Ag 2.74, 4 Zr 2.99
Zr 0.0000 0.0000 0.1449  4 Zn 2.99, 8 Zr 3.13-3.15